[1]
CsCaBe3 | PBE-GGA | relaxed

Lattice parameters (Å, degrees): 5.439 5.439 5.439 90.00 90.00 90.00
Element x y z (fractional)
Cs 0.000 0.000 0.000
Ca 0.500 0.500 0.500
Be 0.000 0.000 0.500
Be 0.000 0.500 0.000
Be 0.500 0.000 0.000

* energy relative to the elements: 1.93 eV per atom
* E above lowest polymorph: 426 meV per atom
* magnetization: 0.00 μB per formula unit
* N(E_F): 3.4 states/eV/f.u.
* crystal system: cubic
* space group: Pm-3m



[2]
CsCaBe3 | PBE-GGA | relaxed

Lattice parameters (Å, degrees): 5.737 5.737 5.737 90.00 90.00 90.00
Element x y z (fractional)
Cs 0.000 0.000 0.000
Ca 0.500 0.500 0.500
Be 0.000 0.500 0.500
Be 0.500 0.000 0.500
Be 0.500 0.500 0.000

* energy relative to the elements: 1.51 eV per atom
* E above lowest polymorph: 0 meV per atom
* magnetization: 0.00 μB per formula unit
* N(E_F): 4.6 states/eV/f.u.
* crystal system: cubic
* space group: Pm-3m



[3]
Cs3CaBe | PBE-GGA | relaxed

Lattice parameters (Å, degrees): 7.158 7.158 7.158 90.00 90.00 90.00
Element x y z (fractional)
Cs 0.000 0.000 0.500
Cs 0.000 0.500 0.000
Cs 0.500 0.000 0.000
Ca 0.500 0.500 0.500
Be 0.000 0.000 0.000

* energy relative to the elements: 0.67 eV per atom
* E above lowest polymorph: 0 meV per atom
* magnetization: 0.00 μB per formula unit
* N(E_F): 4.6 states/eV/f.u.
* crystal system: cubic
* space group: Pm-3m



[4]
CsCa3Be | PBE-GGA | relaxed

Lattice parameters (Å, degrees): 5.759 5.759 5.759 90.00 90.00 90.00
Element x y z (fractional)
Cs 0.000 0.000 0.000
Ca 0.000 0.000 0.500
Ca 0.000 0.500 0.000
Ca 0.500 0.000 0.000
Be 0.500 0.500 0.500

* energy relative to the elements: 1.58 eV per atom
* E above lowest polymorph: 1240 meV per atom
* magnetization: 0.00 μB per formula unit
* N(E_F): 6.4 states/eV/f.u.
* crystal system: cubic
* space group: Pm-3m



[5]
CsCa3Be | PBE-GGA | relaxed

Lattice parameters (Å, degrees): 5.955 5.955 5.955 90.00 90.00 90.00
Element x y z (fractional)
Cs 0.000 0.000 0.000
Ca 0.000 0.500 0.500
Ca 0.500 0.000 0.500
Ca 0.500 0.500 0.000
Be 0.500 0.500 0.500

* energy relative to the elements: 0.34 eV per atom
* E above lowest polymorph: 0 meV per atom
* magnetization: 0.00 μB per formula unit
* N(E_F): 7.5 states/eV/f.u.
* crystal system: cubic
* space group: Pm-3m



[6]
CsCaBeF6 | PBE-GGA | relaxed

Lattice parameters (Å, degrees): 5.550 5.550 6.252 90.00 90.00 120.00
Element x y z (fractional)
Cs 0.000 0.000 0.000
Ca 0.333 0.667 0.500
Be 0.667 0.333 0.500
F 0.415 0.065 0.664
F 0.415 0.350 0.336
F 0.650 0.065 0.336
F 0.650 0.585 0.664
F 0.935 0.350 0.664
F 0.935 0.585 0.336

* formation energy without anion corrections: -2482.9 kJ/mol of formula units
* magnetization: 1.06 μB per formula unit
* N(E_F): 9.2 states/eV/f.u.
* crystal system: trigonal
* space group: P312



[7]
Cs2Ca2Be3F12 | PBE-GGA | relaxed

Lattice parameters (Å, degrees): 10.820 10.820 10.820 90.00 90.00 90.00
Element x y z (fractional)
Cs 0.063 0.063 0.063
Cs 0.205 0.705 0.795
Cs 0.295 0.295 0.295
Cs 0.437 0.937 0.563
Cs 0.563 0.437 0.937
Cs 0.705 0.795 0.205
Cs 0.795 0.205 0.705
Cs 0.937 0.563 0.437
Ca 0.082 0.918 0.418
Ca 0.156 0.344 0.656
Ca 0.344 0.656 0.156
Ca 0.418 0.082 0.918
Ca 0.582 0.582 0.582
Ca 0.656 0.156 0.344
Ca 0.844 0.844 0.844
Ca 0.918 0.418 0.082
Be 0.030 0.736 0.124
Be 0.124 0.030 0.736
Be 0.236 0.376 0.970
Be 0.264 0.624 0.470
Be 0.376 0.970 0.236
Be 0.470 0.264 0.624
Be 0.530 0.764 0.876
Be 0.624 0.470 0.264
Be 0.736 0.124 0.030
Be 0.764 0.876 0.530
Be 0.876 0.530 0.764
Be 0.970 0.236 0.376
F 0.012 0.102 0.347
F 0.018 0.818 0.244
F 0.023 0.944 0.794
F 0.056 0.294 0.477
F 0.078 0.168 0.738
F 0.102 0.347 0.012
F 0.153 0.988 0.602
F 0.168 0.738 0.078
F 0.182 0.744 0.482
F 0.206 0.523 0.556
F 0.238 0.422 0.832
F 0.244 0.018 0.818
F 0.256 0.982 0.318
F 0.262 0.578 0.332
F 0.294 0.477 0.056
F 0.318 0.256 0.982
F 0.332 0.262 0.578
F 0.347 0.012 0.102
F 0.398 0.653 0.512
F 0.422 0.832 0.238
F 0.444 0.706 0.977
F 0.477 0.056 0.294
F 0.482 0.182 0.744
F 0.488 0.898 0.847
F 0.512 0.398 0.653
F 0.518 0.682 0.756
F 0.523 0.556 0.206
F 0.556 0.206 0.523
F 0.578 0.332 0.262
F 0.602 0.153 0.988
F 0.653 0.512 0.398
F 0.668 0.762 0.922
F 0.682 0.756 0.518
F 0.706 0.977 0.444
F 0.738 0.078 0.168
F 0.744 0.482 0.182
F 0.756 0.518 0.682
F 0.762 0.922 0.668
F 0.794 0.023 0.944
F 0.818 0.244 0.018
F 0.832 0.238 0.422
F 0.847 0.488 0.898
F 0.898 0.847 0.488
F 0.922 0.668 0.762
F 0.944 0.794 0.023
F 0.977 0.444 0.706
F 0.982 0.318 0.256
F 0.988 0.602 0.153

* formation energy without anion corrections: -6321.2 kJ/mol of formula units
* magnetization: 0.00 μB per formula unit
* N(E_F): 0.0 states/eV/f.u.
* crystal system: cubic
* space group: P2_13



[8]
CsCaBeHg2 | PBE-GGA | relaxed

Lattice parameters (Å, degrees): 6.944 6.944 8.120 90.00 90.00 90.00
Element x y z (fractional)
Cs 0.000 0.000 0.000
Ca 0.000 0.000 0.500
Be 0.500 0.500 0.500
Hg 0.000 0.500 0.000
Hg 0.500 0.000 0.000

* energy relative to the elements: 1.09 eV per atom
* magnetization: 0.00 μB per formula unit
* N(E_F): 9.1 states/eV/f.u.
* crystal system: tetragonal
* space group: P4/mmm